1.
A plane-wave DFT calculation with PBE-GGA was carried out for an optimized crystal structure of Li2ZnAu6.

a b c (Å): 7.2245 7.2245 3.9532
angles (deg): 105.80 105.80 63.27
Last column: nearest neighbours and their distance in Å.
Fractional coordinates of all 9 atoms:
Li 0.1607 0.1607 0.1602  8 Au 2.72-2.77
Li 0.8393 0.8393 0.8398  8 Au 2.72-2.77
Zn 0.5000 0.5000 0.5000  8 Au 2.67-2.70
Au 0.0873 0.5767 0.3318  1 Zn 2.70, 3 Li 2.72-2.77, 4 Au 2.75-2.79
Au 0.2635 0.7365 0.0000  2 Zn 2.67, 2 Li 2.74, 4 Au 2.78-2.79
Au 0.4233 0.9127 0.6682  1 Zn 2.70, 3 Li 2.72-2.77, 4 Au 2.75-2.79
Au 0.5767 0.0873 0.3318  1 Zn 2.70, 3 Li 2.72-2.77, 4 Au 2.75-2.79
Au 0.7365 0.2635 0.0000  2 Zn 2.67, 2 Li 2.74, 4 Au 2.78-2.79
Au 0.9127 0.4233 0.6682  1 Zn 2.70, 3 Li 2.72-2.77, 4 Au 2.75-2.79

energy of formation from the pure elements = -0.23 eV per atom
offset from the most stable computed form = 115 meV/atom
total magnetic moment = 0.000 μB/atom

---

2.
A plane-wave DFT calculation with PBE-GGA was carried out for an optimized crystal structure of K2Na8Li.

a b c (Å): 6.2865 9.0491 9.5556
angles (deg): 117.54 95.08 104.95
Last column: nearest neighbours and their distance in Å.
Fractional coordinates of all 11 atoms:
K 0.1319 0.2811 0.1793  7 Na 3.79-4.13, 2 Li 3.80-3.84
K 0.8681 0.7189 0.8207  7 Na 3.79-4.13, 2 Li 3.80-3.84
Na 0.0225 0.0945 0.7110  6 Na 3.48-3.76, 1 K 3.90
Na 0.2365 0.4415 0.6388  5 Na 3.48-3.87, 3 K 3.79-3.86
Na 0.3623 0.6746 0.0997  1 Li 3.43, 4 Na 3.66-3.80
Na 0.3985 0.8334 0.5697  1 Li 3.59, 9 Na 3.67-4.00
Na 0.6015 0.1666 0.4303  1 Li 3.59, 9 Na 3.67-4.00
Na 0.6377 0.3254 0.9003  1 Li 3.43, 4 Na 3.66-3.80
Na 0.7635 0.5585 0.3612  5 Na 3.48-3.87, 3 K 3.79-3.86
Na 0.9775 0.9055 0.2890  6 Na 3.48-3.76, 1 K 3.90
Li 0.5000 0.0000 0.0000  4 Na 3.43-3.59, 4 K 3.80-3.84

energy of formation from the pure elements = 0.05 eV per atom
total magnetic moment = 0.000 μB/atom

---

3.
A plane-wave DFT calculation with PBE-GGA was carried out for an optimized crystal structure of SrTl2Cr.

a b c (Å): 8.4711 4.8919 6.2589
angles (deg): 90.00 116.89 90.00
Last column: nearest neighbours and their distance in Å.
Fractional coordinates of all 8 atoms:
Sr 0.0000 0.0000 0.0000  8 Tl 3.42-3.64
Sr 0.5000 0.5000 0.0000  8 Tl 3.42-3.64
Tl 0.2176 0.0000 0.6528  3 Cr 2.95, 3 Tl 3.30
Tl 0.2824 0.5000 0.3472  3 Cr 2.95, 3 Tl 3.30
Tl 0.7176 0.5000 0.6528  3 Cr 2.95, 3 Tl 3.30
Tl 0.7824 0.0000 0.3472  3 Cr 2.95, 3 Tl 3.30
Cr 0.0000 0.5000 0.5000  6 Tl 2.95
Cr 0.5000 0.0000 0.5000  6 Tl 2.95

energy of formation from the pure elements = 0.10 eV per atom
total magnetic moment = 1.033 μB/atom

---

Which mass density belongs to each record? In order, 11.99; 0.99; 7.87 Mg/m³.
Which DFT total energy belongs to each record? In order, -2.9800; -1.2859; -3.9063 eV per atom.